## La3Mo3W2N12 (PBE-GGA)

Data for a relaxed structure of La3Mo3W2N12.

Cell: 11.274 11.274 11.274 Å, 109.47 109.47 109.47°
Atoms (fractional coordinates):
La: 0.125 0.250 0.375
La: 0.125 0.375 0.750
La: 0.250 0.375 0.125
La: 0.250 0.875 0.625
La: 0.375 0.125 0.250
La: 0.375 0.750 0.125
La: 0.625 0.250 0.875
La: 0.625 0.875 0.750
La: 0.750 0.125 0.375
La: 0.750 0.625 0.875
La: 0.875 0.625 0.250
La: 0.875 0.750 0.625
Mo: 0.125 0.750 0.875
Mo: 0.125 0.875 0.250
Mo: 0.250 0.125 0.875
Mo: 0.250 0.625 0.375
Mo: 0.375 0.250 0.625
Mo: 0.375 0.625 0.750
Mo: 0.625 0.375 0.250
Mo: 0.625 0.750 0.375
Mo: 0.750 0.375 0.625
Mo: 0.750 0.875 0.125
Mo: 0.875 0.125 0.750
Mo: 0.875 0.250 0.125
W: 0.000 0.000 0.000
W: 0.000 0.000 0.500
W: 0.000 0.500 0.000
W: 0.000 0.500 0.500
W: 0.500 0.000 0.000
W: 0.500 0.000 0.500
W: 0.500 0.500 0.000
W: 0.500 0.500 0.500
N: 0.011 0.192 0.113
N: 0.011 0.319 0.898
N: 0.079 0.692 0.681
N: 0.079 0.887 0.398
N: 0.102 0.613 0.421
N: 0.102 0.989 0.681
N: 0.113 0.011 0.192
N: 0.113 0.602 0.921
N: 0.181 0.192 0.579
N: 0.181 0.489 0.602
N: 0.192 0.113 0.011
N: 0.192 0.579 0.181
N: 0.308 0.319 0.921
N: 0.308 0.489 0.387
N: 0.319 0.898 0.011
N: 0.319 0.921 0.308
N: 0.387 0.308 0.489
N: 0.387 0.579 0.898
N: 0.398 0.079 0.887
N: 0.398 0.819 0.511
N: 0.421 0.102 0.613
N: 0.421 0.819 0.808
N: 0.489 0.387 0.308
N: 0.489 0.602 0.181
N: 0.511 0.398 0.819
N: 0.511 0.613 0.692
N: 0.579 0.181 0.192
N: 0.579 0.898 0.387
N: 0.602 0.181 0.489
N: 0.602 0.921 0.113
N: 0.613 0.421 0.102
N: 0.613 0.692 0.511
N: 0.681 0.079 0.692
N: 0.681 0.102 0.989
N: 0.692 0.511 0.613
N: 0.692 0.681 0.079
N: 0.808 0.421 0.819
N: 0.808 0.887 0.989
N: 0.819 0.511 0.398
N: 0.819 0.808 0.421
N: 0.887 0.398 0.079
N: 0.887 0.989 0.808
N: 0.898 0.011 0.319
N: 0.898 0.387 0.579
N: 0.921 0.113 0.602
N: 0.921 0.308 0.319
N: 0.989 0.681 0.102
N: 0.989 0.808 0.887

Output
The calculated total energy is -9.42 eV/atom. Its volume is 13.8 Å³/atom.

## CoNiHgPb (PBE-GGA)

Data for a relaxed structure of CoNiHgPb.

Cell: 4.561 4.561 4.561 Å, 60.00 60.00 60.00°
Atoms (fractional coordinates):
Co: 0.000 0.000 0.000
Ni: 0.500 0.500 0.500
Hg: 0.250 0.250 0.250
Pb: 0.750 0.750 0.750

Output
Its volume is 16.8 Å³/atom. The relative energy among the computed polymorphs comes out at 0.0 meV per atom.

## Rb2Hg2BiSb (PBE-GGA)

Data for a relaxed structure of Rb2Hg2BiSb.

Cell: 4.997 4.997 11.113 Å, 90.00 90.00 120.00°
Atoms (fractional coordinates):
Rb: 0.000 0.000 0.247
Rb: 0.000 0.000 0.753
Hg: 0.333 0.667 0.000
Hg: 0.667 0.333 0.500
Bi: 0.333 0.667 0.500
Sb: 0.667 0.333 0.000

Output
The calculated total energy is -2.12 eV/atom. Its volume is 40.0 Å³/atom.

## Th2As4Au (PBE-GGA)

Data for a relaxed structure of Th2As4Au.

Cell: 4.105 4.105 9.860 Å, 90.00 90.00 90.00°
Atoms (fractional coordinates):
Th: 0.000 0.500 0.239
Th: 0.500 0.000 0.761
As: 0.000 0.000 0.000
As: 0.000 0.500 0.671
As: 0.500 0.000 0.329
As: 0.500 0.500 0.000
Au: 0.000 0.000 0.500

Output
The calculated total energy is -6.18 eV/atom. Its volume is 23.7 Å³/atom.

## Rb2Tm (PBE-GGA)

Data for a relaxed structure of Rb2Tm.

Cell: 6.906 6.906 6.906 Å, 60.00 60.00 60.00°
Atoms (fractional coordinates):
Rb: 0.250 0.250 0.250
Rb: 0.750 0.750 0.750
Tm: 0.000 0.000 0.000

Output
The calculated total energy is -1.08 eV/atom. Its volume is 77.6 Å³/atom.

## Nb4Si7Ni4 (PBE-GGA)

Data for a relaxed structure of Nb4Si7Ni4.

Cell: 9.272 9.272 9.272 Å, 94.17 94.17 148.72°
Atoms (fractional coordinates):
Nb: 0.000 0.191 0.191
Nb: 0.000 0.809 0.809
Nb: 0.191 0.000 0.191
Nb: 0.365 0.365 0.731
Nb: 0.365 0.635 0.000
Nb: 0.635 0.365 0.000
Nb: 0.635 0.635 0.269
Nb: 0.809 0.000 0.809
Si: 0.000 0.407 0.407
Si: 0.000 0.593 0.593
Si: 0.208 0.208 0.415
Si: 0.208 0.792 0.000
Si: 0.209 0.500 0.709
Si: 0.251 0.251 0.000
Si: 0.407 0.000 0.407
Si: 0.500 0.209 0.709
Si: 0.500 0.791 0.291
Si: 0.593 0.000 0.593
Si: 0.749 0.749 0.000
Si: 0.791 0.500 0.291
Si: 0.792 0.208 0.000
Si: 0.792 0.792 0.585
Ni: 0.102 0.602 0.204
Ni: 0.102 0.898 0.500
Ni: 0.398 0.602 0.500
Ni: 0.398 0.898 0.796
Ni: 0.602 0.102 0.204
Ni: 0.602 0.398 0.500
Ni: 0.898 0.102 0.500
Ni: 0.898 0.398 0.796

Output
The calculated total energy is -7.35 eV/atom. Its volume is 13.3 Å³/atom.

## AlMo3 (PBE-GGA)

Data for a relaxed structure of AlMo3.

Cell: 5.212 5.212 5.212 Å, 138.12 138.12 60.72°
Atoms (fractional coordinates):
Al: 0.000 0.000 0.000
Mo: 0.250 0.750 0.500
Mo: 0.500 0.500 0.000
Mo: 0.750 0.250 0.500

Output
Its volume is 15.6 Å³/atom. The relative energy among the computed polymorphs comes out at 33.0 meV per atom.

## NdMg2 (PBE-GGA)

Data for a relaxed structure of NdMg2.

Cell: 4.996 13.272 4.875 Å, 90.00 90.00 90.00°
Atoms (fractional coordinates):
Nd: 0.250 0.082 0.003
Nd: 0.250 0.418 0.003
Nd: 0.750 0.582 0.997
Nd: 0.750 0.918 0.997
Mg: 0.250 0.250 0.504
Mg: 0.250 0.594 0.500
Mg: 0.250 0.750 0.996
Mg: 0.250 0.906 0.500
Mg: 0.750 0.094 0.500
Mg: 0.750 0.250 0.004
Mg: 0.750 0.406 0.500
Mg: 0.750 0.750 0.496

Output
The calculated total energy is -2.65 eV/atom. Its volume is 26.9 Å³/atom.